! In2PAu2 PBE optimized geometry; values from VASP
&SYSTEM
  ibrav = 0, nat = 10, ntyp = 3
/
ATOMIC_SPECIES
In 114.82 In.upf
P 30.97 P.upf
Au 196.97 Au.upf
ATOMIC_POSITIONS crystal
In 0.165 0.335 0.000
In 0.335 0.835 0.000
In 0.665 0.165 0.000
In 0.835 0.665 0.000
P 0.000 0.000 0.500
P 0.500 0.500 0.500
Au 0.145 0.645 0.500
Au 0.355 0.145 0.500
Au 0.645 0.855 0.500
Au 0.855 0.355 0.500
CELL_PARAMETERS angstrom
7.140 0.000 0.000
0.000 7.140 0.000
0.000 0.000 4.209
! SG ... P4/mbm
! Energy relative to the elements ... 0.100 eV per atom
! Polymorph energy (0 for the lowest one) ... 0 meV/atom
! Total DFT energy (no corrections) ... -3.39 eV/atom
! N(E_F) ... 3.6 states/eV per cell